# 1
DFT (GGA+U) results for crystalline VCdN2F at its relaxed geometry.

Cell and atoms, written as CIF:
```
data_VCdN2F
_chemical_formula_sum 'V1 Cd1 N2 F1'
_space_group_name_H-M_alt 'P 1'
_space_group_IT_number 1
_cell_length_a 3.879
_cell_length_b 3.879
_cell_length_c 3.935
_cell_angle_alpha 90.00
_cell_angle_beta 90.00
_cell_angle_gamma 90.00
loop_
_space_group_symop_operation_xyz
'x,y,z'
loop_
_atom_site_label
_atom_site_fract_x
_atom_site_fract_y
_atom_site_fract_z
V1 0.000 0.000 0.000
Cd1 0.500 0.500 0.500
N1 0.000 0.500 0.000
N2 0.500 0.000 0.000
F1 0.000 0.000 0.500
```

Computed properties:
- spin magnetization (μB per cell) = 0.0
- offset from the most stable computed form (eV per formula unit) = 0.000



# 2
DFT (GGA+U) results for crystalline VCdN2F at its relaxed geometry.

Cell and atoms, written as CIF:
```
data_VCdN2F
_chemical_formula_sum 'V1 Cd1 N2 F1'
_space_group_name_H-M_alt 'P 1'
_space_group_IT_number 1
_cell_length_a 4.134
_cell_length_b 4.134
_cell_length_c 4.182
_cell_angle_alpha 90.00
_cell_angle_beta 90.00
_cell_angle_gamma 90.00
loop_
_space_group_symop_operation_xyz
'x,y,z'
loop_
_atom_site_label
_atom_site_fract_x
_atom_site_fract_y
_atom_site_fract_z
N1 0.000 0.500 0.000
N2 0.500 0.000 0.000
F1 0.000 0.000 0.500
Cd1 0.000 0.000 0.000
V1 0.500 0.500 0.500
```

Computed properties:
- spin magnetization (μB per cell) = 0.1
- offset from the most stable computed form (eV per formula unit) = 7.686